A plane-wave DFT calculation with GGA-PBE was carried out for an optimized crystal structure of Th2CuSn2.

abc: 6.1869 6.1869 11.6834
angles: 115.69 115.69 42.02
Positions (direct):
Th 0.0916 0.0916 0.3976
Th 0.3082 0.3082 0.8436
Th 0.6918 0.6918 0.1564
Th 0.9084 0.9084 0.6024
Cu 0.4489 0.4489 0.2026
Cu 0.5511 0.5511 0.7974
Sn 0.0654 0.0654 0.9197
Sn 0.3591 0.3591 0.3749
Sn 0.6409 0.6409 0.6251
Sn 0.9346 0.9346 0.0803

Relative energy among the computed polymorphs   0 meV per atom
Space-group type   C2/m (12)
E_tot   -5.864 eV per atom
Spin magnetization   0.000 μB/atom
Energy relative to the elements   -476 meV/atom